Record 1
A plane-wave DFT calculation with PBE was carried out for a relaxed LaNiCl2 crystal.

Values from the calculation:
ΔE to the lowest computed polymorph = 39.8 kJ per mole of atoms
formation energy (no corrections) = -0.760 eV per atom
total magnetic moment = 0.180 μB per atom

Cell and atoms, written as CIF:
```
data_LaNiCl2
_cell_length_a 5.546
_cell_length_b 5.546
_cell_length_c 12.715
_cell_angle_alpha 90.00
_cell_angle_beta 90.00
_cell_angle_gamma 90.00
_symmetry_space_group_name_H-M 'I -4 2 d'
_symmetry_Int_Tables_number 122
_symmetry_space_group_name_Hall 'I -4 2bw'
loop_
_atom_site_label
_atom_site_type_symbol
_atom_site_fract_x
_atom_site_fract_y
_atom_site_fract_z
_atom_site_occupancy
La1 La 0.000 0.000 0.000 1
Ni1 Ni 0.000 0.000 0.500 1
Cl1 Cl 0.164 0.250 0.625 1
```

---

Record 2
A plane-wave DFT calculation with PBE was carried out for a relaxed PuSi2Sn crystal.

Values from the calculation:
ΔE to the lowest computed polymorph = 0.0 kJ per mole of atoms
formation energy (no corrections) = -0.224 eV per atom
total magnetic moment = 1.223 μB per atom

Cell and atoms, written as CIF:
```
data_PuSi2Sn
_cell_length_a 4.400
_cell_length_b 4.400
_cell_length_c 4.036
_cell_angle_alpha 90.00
_cell_angle_beta 90.00
_cell_angle_gamma 90.00
_symmetry_space_group_name_H-M 'P 4/m m m'
_symmetry_Int_Tables_number 123
_symmetry_space_group_name_Hall '-P 4 2'
loop_
_atom_site_label
_atom_site_type_symbol
_atom_site_fract_x
_atom_site_fract_y
_atom_site_fract_z
_atom_site_occupancy
Pu1 Pu 0.000 0.000 0.000 1
Si1 Si 0.000 0.500 0.500 1
Sn1 Sn 0.500 0.500 0.000 1
```

---

Record 3
A plane-wave DFT calculation with PBE was carried out for a relaxed Cd2ReAu crystal.

Values from the calculation:
ΔE to the lowest computed polymorph = 1.6 kJ per mole of atoms
energy of formation = 0.343 eV/atom
total magnetic moment = 0.000 μB per atom

Cell and atoms, written as CIF:
```
data_Cd2ReAu
_cell_length_a 3.315
_cell_length_b 4.566
_cell_length_c 9.540
_cell_angle_alpha 90.00
_cell_angle_beta 90.00
_cell_angle_gamma 90.00
_symmetry_space_group_name_H-M 'C m m m'
_symmetry_Int_Tables_number 65
_symmetry_space_group_name_Hall '-C 2 2'
loop_
_atom_site_label
_atom_site_type_symbol
_atom_site_fract_x
_atom_site_fract_y
_atom_site_fract_z
_atom_site_occupancy
Cd1 Cd 0.000 0.000 0.247 1
Re1 Re 0.000 0.500 0.000 1
Au1 Au 0.000 0.500 0.500 1
```